NdDy2ScHg4: optimized geometry, PBE-GGA.

Structure (CIF):
```
data_NdDy2ScHg4
_chemical_formula_sum 'Nd1 Dy2 Sc1 Hg4'
_space_group_name_H-M_alt 'P 1'
_space_group_IT_number 1
_space_group_name_Hall 'P 1'
_cell_length_a 9.176
_cell_length_b 9.176
_cell_length_c 9.176
_cell_angle_alpha 33.00
_cell_angle_beta 33.00
_cell_angle_gamma 33.00
loop_
_atom_site_label
_atom_site_fract_x
_atom_site_fract_y
_atom_site_fract_z
Nd1 0.000 0.000 0.000
Dy1 0.247 0.247 0.247
Dy2 0.753 0.753 0.753
Sc1 0.500 0.500 0.500
Hg1 0.128 0.128 0.128
Hg2 0.381 0.381 0.381
Hg3 0.619 0.619 0.619
Hg4 0.872 0.872 0.872
```


RbCo2Se: optimized geometry, PBE-GGA.

Structure (CIF):
```
data_RbCo2Se
_chemical_formula_sum 'Rb2 Co4 Se2'
_space_group_name_H-M_alt 'P 1'
_space_group_IT_number 1
_space_group_name_Hall 'P 1'
_cell_length_a 8.556
_cell_length_b 8.556
_cell_length_c 8.556
_cell_angle_alpha 146.05
_cell_angle_beta 146.05
_cell_angle_gamma 48.77
loop_
_atom_site_label
_atom_site_fract_x
_atom_site_fract_y
_atom_site_fract_z
Rb1 0.375 0.625 0.750
Rb2 0.625 0.375 0.250
Co1 0.000 0.000 0.000
Co2 0.000 0.000 0.500
Co3 0.000 0.500 0.000
Co4 0.500 0.000 0.500
Se1 0.125 0.875 0.250
Se2 0.875 0.125 0.750
```


Number 1: VASP energy -25.07 eV/cell. Number 2: VASP energy -35.45 eV/cell.